(1)
## LiReAu2 (PBE)

Data for crystalline LiReAu2 at its relaxed geometry.

The energy above the most stable polymorph in this dataset comes out at 1.52 eV/f.u. Its total magnetic moment is 2.5 μB per formula unit. The value obtained for the theoretical density is 15.02 g cm⁻³. As for the energy of formation from the pure elements: 0.4322 eV per atom. The electronic total energy comes out at -4.80 eV/atom.

The space group is I-4m2 (No. 119) and the conventional cell measures 3.952, 3.952 and 8.312 Å, with angles of 90.00, 90.00 and 90.00 degrees. The distinct sites, in fractional coordinates, are Li at (0.000, 0.000, 0.000), Re at (0.000, 0.500, 0.750), Au at (0.000, 0.000, 0.500) and Au at (0.000, 0.500, 0.250).



(2)
## Ce3Si2Ir2 (PBE)

Data for crystalline Ce3Si2Ir2 at its relaxed geometry.

Its total magnetic moment is 1.7 μB per formula unit. Its uncorrected formation energy is -0.8638 eV/atom. The value obtained for the theoretical density is 9.77 g cm⁻³. The electronic total energy comes out at -7.49 eV/atom.

The space group is Pbcm (No. 57) and the conventional cell measures 5.594, 7.932 and 13.199 Å, with angles of 90.00, 90.00 and 90.00 degrees. The distinct sites, in fractional coordinates, are Ce at (0.141, 0.111, 0.100), Ce at (0.358, 0.745, 0.750), Si at (0.146, 0.097, 0.750), Si at (0.356, 0.750, 0.000) and Ir at (0.375, 0.037, 0.593).



(3)
## RbSi2Te2 (PBE)

Data for crystalline RbSi2Te2 at its relaxed geometry.

The energy above the most stable polymorph in this dataset comes out at 0.00 eV/f.u. Its total magnetic moment is 0.0 μB per formula unit. Its uncorrected formation energy is 0.0005 eV/atom. The value obtained for the theoretical density is 4.39 g cm⁻³. The electronic total energy comes out at -3.62 eV/atom.

The space group is I4/mmm (No. 139) and the conventional cell measures 5.502, 5.502 and 9.913 Å, with angles of 90.00, 90.00 and 90.00 degrees. The distinct sites, in fractional coordinates, are Rb at (0.000, 0.000, 0.000), Si at (0.000, 0.000, 0.355) and Te at (0.000, 0.500, 0.250).



(4)
## LaNd5Pb4 (PBE)

Data for crystalline LaNd5Pb4 at its relaxed geometry.

Its total magnetic moment is 0.0 μB per formula unit. The value obtained for the theoretical density is 8.04 g cm⁻³. As for the energy of formation from the pure elements: -0.4043 eV per atom. The electronic total energy comes out at -4.76 eV/atom.

The space group is C2/m (No. 12) and the conventional cell measures 16.812, 5.606 and 7.405 Å, with angles of 90.00, 90.39 and 90.00 degrees. The distinct sites, in fractional coordinates, are La at (0.000, 0.000, 0.000), Nd at (0.000, 0.000, 0.500), Nd at (0.166, 0.500, 0.992), Nd at (0.167, 0.500, 0.511), Pb at (0.009, 0.500, 0.254) and Pb at (0.177, 0.000, 0.749).



Among the records above, which one has the lowest theoretical density?
RbSi2Te2